An optimized crystal structure of SmV2HgO8, computed with PBE+U.

Cell and atoms, written as POSCAR:
```
SmV2HgO8
1.0
5.927 0.000 0.000
-2.964 5.133 0.000
0.000 0.000 6.501
Sm V Hg O
1 2 1 8
Direct
0.000 0.000 0.000 Sm
0.333 0.667 0.673 V
0.667 0.333 0.327 V
0.000 0.000 0.500 Hg
0.168 0.336 0.758 O
0.168 0.832 0.758 O
0.333 0.667 0.419 O
0.336 0.168 0.242 O
0.664 0.832 0.758 O
0.667 0.333 0.581 O
0.832 0.168 0.242 O
0.832 0.664 0.242 O
```

M_tot = 1.07 μB per formula unit
uncorrected energy = -6.71 eV/atom
N(E_F) = 5.49 states/eV/f.u.
mass density = 4876 kg/m³